A relaxed Cd5SbRh6 crystal, computed with PBE.

CIF file:
```
data_Cd5SbRh6
_cell_length_a 4.555
_cell_length_b 6.476
_cell_length_c 7.220
_cell_angle_alpha 90.00
_cell_angle_beta 108.29
_cell_angle_gamma 90.00
_space_group_name_H-M_alt 'P 1 2/m 1'
_space_group_IT_number 10
loop_
_space_group_symop_operation_xyz
'x,y,z'
'-x,-y,-z'
'-x,y,-z'
'x,-y,z'
loop_
_atom_site_label
_atom_site_fract_x
_atom_site_fract_y
_atom_site_fract_z
Cd1 0.000 0.000 0.000
Cd2 0.325 0.500 0.650
Cd3 0.332 0.000 0.663
Sb1 0.000 0.500 0.000
Rh1 0.158 0.256 0.316
Rh2 0.500 0.267 0.000
```

Summary:
- calculated total energy (eV per atom) = -4.6170
- E_form (uncorrected) (eV/atom) = -0.22